VASP calculation (PBE) on Zn2PbAu after structural relaxation.

Cell lengths 4.632, 4.632, 5.694 Å; angles 103.19, 103.19, 46.45 degrees
Fractional coordinates of all 4 atoms:
Zn (0.231, 0.231, 0.170)
Zn (0.769, 0.769, 0.830)
Pb (0.000, 0.000, 0.500)
Au (0.500, 0.500, 0.000)

Calculated values
Theoretical density = 10.359 g cm⁻³
Formation energy = -21 meV per atom

=====

VASP calculation (PBE) on Zn2PbAu6 after structural relaxation.

Cell lengths 8.305, 8.305, 8.305 Å; angles 60.00, 60.00, 60.00 degrees
Fractional coordinates of all 18 atoms:
Zn (0.000, 0.000, 0.000)
Zn (0.000, 0.000, 0.500)
Zn (0.000, 0.500, 0.000)
Zn (0.500, 0.000, 0.000)
Pb (0.375, 0.375, 0.375)
Pb (0.625, 0.625, 0.625)
Au (0.130, 0.130, 0.620)
Au (0.130, 0.620, 0.130)
Au (0.130, 0.620, 0.620)
Au (0.380, 0.380, 0.870)
Au (0.380, 0.870, 0.380)
Au (0.380, 0.870, 0.870)
Au (0.620, 0.130, 0.130)
Au (0.620, 0.130, 0.620)
Au (0.620, 0.620, 0.130)
Au (0.870, 0.380, 0.380)
Au (0.870, 0.380, 0.870)
Au (0.870, 0.870, 0.380)

Calculated values
Theoretical density = 12.461 g cm⁻³
Formation energy = 44 meV per atom

=====

VASP calculation (PBE) on ZnPb2Au after structural relaxation.

Cell lengths 3.704, 3.698, 7.102 Å; angles 90.00, 90.11, 90.00 degrees
Fractional coordinates of all 4 atoms:
Zn (0.000, 0.000, 0.000)
Pb (0.498, 0.500, 0.254)
Pb (0.502, 0.500, 0.746)
Au (0.000, 0.000, 0.500)

Calculated values
Theoretical density = 11.554 g cm⁻³
Formation energy = 74 meV per atom

=====

VASP calculation (PBE) on Zn2PbAu after structural relaxation.

Cell lengths 8.790, 8.790, 8.790 Å; angles 22.17, 22.17, 22.17 degrees
Fractional coordinates of all 4 atoms:
Zn (0.000, 0.000, 0.000)
Zn (0.266, 0.266, 0.266)
Pb (0.768, 0.768, 0.768)
Au (0.529, 0.529, 0.529)

Calculated values
Theoretical density = 10.477 g cm⁻³
Formation energy = 70 meV per atom